Material: Ac6Ir2SeI3
Method: DFT, PBE
State: optimized geometry

Unit cell a=7.807 b=13.521 c=8.919 alpha=90.00 beta=106.90 gamma=90.00
Space group C2/m (No. 12)
Symmetry-distinct sites (fractional):
Ac: 0.205 0.000 0.188 (multiplicity 4)
Ac: 0.242 0.321 0.188 (multiplicity 8)
Ir: 0.000 0.167 0.000 (multiplicity 4)
Se: 0.000 0.500 0.000 (multiplicity 2)
I: 0.000 0.000 0.500 (multiplicity 2)
I: 0.000 0.337 0.500 (multiplicity 4)

Output
Its uncorrected formation energy is -1.173 eV/atom. As for the density of states at the Fermi level: 13.04 states/eV per cell. The calculation puts the magnetic moment at 0.0 Bohr magnetons per cell.

Material: Th3MnAg
Method: DFT, PBE
State: optimized geometry

Unit cell a=5.187 b=5.187 c=5.187 alpha=90.00 beta=90.00 gamma=90.00
Space group Pm-3m (No. 221)
Symmetry-distinct sites (fractional):
Th: 0.000 0.000 0.500 (multiplicity 3)
Mn: 0.000 0.000 0.000 (multiplicity 1)
Ag: 0.500 0.500 0.500 (multiplicity 1)

Output
As for the density of states at the Fermi level: 4.92 states/eV per cell. For the energy relative to the elements, the calculation gives 0.093 eV/atom. The calculation puts the magnetic moment at 0.0 Bohr magnetons per cell.

Material: Sc3Be
Method: DFT, PBE
State: optimized geometry

Unit cell a=5.439 b=5.439 c=5.439 alpha=90.00 beta=90.00 gamma=90.00
Space group Pm-3n (No. 223)
Symmetry-distinct sites (fractional):
Sc: 0.000 0.250 0.500 (multiplicity 6)
Be: 0.000 0.000 0.000 (multiplicity 2)

Output
As for the density of states at the Fermi level: 10.17 states/eV per cell. For the energy relative to the elements, the calculation gives 0.180 eV/atom. The calculation puts the magnetic moment at 0.0 Bohr magnetons per cell.

Material: DyThSbPb
Method: DFT, PBE
State: optimized geometry

Unit cell a=4.5050 b=4.5050 c=21.7464 alpha=90.00 beta=90.00 gamma=120.00
Space group R3m (No. 160, hexagonal axes)
Symmetry-distinct sites (fractional):
Dy: 0.0000 0.0000 0.0000 (multiplicity 3)
Th: 0.0000 0.0000 0.5003 (multiplicity 3)
Sb: 0.0000 0.0000 0.2528 (multiplicity 3)
Pb: 0.0000 0.0000 0.7473 (multiplicity 3)

Output
Its uncorrected formation energy is -0.682 eV/atom. As for the density of states at the Fermi level: 4.91 states/eV per cell. The calculation puts the magnetic moment at 0.0 Bohr magnetons per cell.

Material: CoH3Cl
Method: DFT, PBE
State: optimized geometry

Unit cell a=3.601 b=3.601 c=3.601 alpha=90.00 beta=90.00 gamma=90.00
Space group Pm-3m (No. 221)
Symmetry-distinct sites (fractional):
Co: 0.000 0.000 0.000 (multiplicity 1)
H: 0.000 0.500 0.500 (multiplicity 3)
Cl: 0.500 0.500 0.500 (multiplicity 1)

Output
The total DFT energy (no corrections) comes out at -2.2822 eV/atom. As for the density of states at the Fermi level: 5.03 states/eV per cell. The calculation puts the magnetic moment at 2.1 Bohr magnetons per cell.

Material: LaBi2Rh
Method: DFT, PBE
State: optimized geometry

Unit cell a=3.5764 b=3.5764 c=31.3086 alpha=90.00 beta=90.00 gamma=120.00
Space group R-3m (No. 166, hexagonal axes)
Symmetry-distinct sites (fractional):
La: 0.0000 0.0000 0.0000 (multiplicity 3)
Bi: 0.0000 0.0000 0.1065 (multiplicity 6)
Rh: 0.0000 0.0000 0.5000 (multiplicity 3)

Output
As for the density of states at the Fermi level: 10.24 states/eV per cell. For the energy relative to the elements, the calculation gives -0.056 eV/atom. The calculation puts the magnetic moment at 0.0 Bohr magnetons per cell.

Material: KZr2Sb
Method: DFT, PBE
State: optimized geometry

Unit cell a=4.672 b=4.672 c=4.588 alpha=90.00 beta=90.00 gamma=90.00
Space group P4/mmm (No. 123)
Symmetry-distinct sites (fractional):
K: 0.000 0.000 0.000 (multiplicity 1)
Zr: 0.000 0.500 0.500 (multiplicity 2)
Sb: 0.500 0.500 0.000 (multiplicity 1)

Output
Its uncorrected formation energy is 0.365 eV/atom. As for the density of states at the Fermi level: 4.99 states/eV per cell. The calculation puts the magnetic moment at 0.4 Bohr magnetons per cell.

Material: Y7Ho4Er
Method: DFT, PBE
State: optimized geometry

Unit cell a=16.054 b=5.863 c=9.306 alpha=90.00 beta=116.97 gamma=90.00
Space group C2/m (No. 12)
Symmetry-distinct sites (fractional):
Y: 0.000 0.000 0.000 (multiplicity 2)
Y: 0.080 0.500 0.438 (multiplicity 4)
Y: 0.209 0.500 0.232 (multiplicity 4)
Y: 0.213 0.500 0.878 (multiplicity 4)
Ho: 0.073 0.000 0.700 (multiplicity 4)
Ho: 0.173 0.000 0.386 (multiplicity 4)
Er: 0.000 0.500 0.000 (multiplicity 2)

Output
As for the density of states at the Fermi level: 40.84 states/eV per cell. For the energy relative to the elements, the calculation gives 0.247 eV/atom. The calculation puts the magnetic moment at 1.2 Bohr magnetons per cell.

Material: BaHgCl2
Method: DFT, PBE
State: optimized geometry

Unit cell a=5.356 b=5.128 c=7.487 alpha=90.00 beta=110.93 gamma=90.00
Space group Pm (No. 6)
Symmetry-distinct sites (fractional):
Ba: 0.000 0.000 0.000 (multiplicity 1)
Hg: 0.784 0.500 0.589 (multiplicity 1)
Cl: 0.111 0.500 0.220 (multiplicity 1)
Cl: 0.408 0.000 0.815 (multiplicity 1)

Output
Its uncorrected formation energy is -1.681 eV/atom. As for the density of states at the Fermi level: 0.00 states/eV per cell. The calculation puts the magnetic moment at 0.0 Bohr magnetons per cell.

Material: MnCdRu2
Method: DFT, PBE
State: optimized geometry

Unit cell a=2.844 b=4.590 c=9.282 alpha=90.00 beta=90.00 gamma=90.00
Space group Immm (No. 71)
Symmetry-distinct sites (fractional):
Mn: 0.000 0.000 0.000 (multiplicity 2)
Cd: 0.000 0.000 0.500 (multiplicity 2)
Ru: 0.000 0.500 0.279 (multiplicity 4)

Output
As for the density of states at the Fermi level: 5.96 states/eV per cell. For the energy relative to the elements, the calculation gives 0.290 eV/atom. The calculation puts the magnetic moment at 4.8 Bohr magnetons per cell.

Material: BePBrO2
Method: DFT, PBE
State: optimized geometry

Unit cell a=3.732 b=3.732 c=5.284 alpha=90.00 beta=90.00 gamma=90.00
Space group P4/mmm (No. 123)
Symmetry-distinct sites (fractional):
Be: 0.000 0.000 0.000 (multiplicity 1)
P: 0.500 0.500 0.000 (multiplicity 1)
Br: 0.500 0.500 0.500 (multiplicity 1)
O: 0.000 0.500 0.500 (multiplicity 2)

Output
Its uncorrected formation energy is 0.924 eV/atom. As for the density of states at the Fermi level: 1.70 states/eV per cell. The calculation puts the magnetic moment at 0.0 Bohr magnetons per cell.

Material: La2CePm3Y6
Method: DFT, PBE
State: optimized geometry

Unit cell a=6.288 b=10.894 c=11.886 alpha=90.00 beta=100.15 gamma=90.00
Space group C2/m (No. 12)
Symmetry-distinct sites (fractional):
La: 0.000 0.167 0.000 (multiplicity 4)
Ce: 0.000 0.500 0.000 (multiplicity 2)
Pm: 0.000 0.000 0.500 (multiplicity 2)
Pm: 0.000 0.333 0.500 (multiplicity 4)
Y: 0.247 0.500 0.749 (multiplicity 4)
Y: 0.249 0.335 0.250 (multiplicity 8)

Output
As for the density of states at the Fermi level: 38.64 states/eV per cell. For the energy relative to the elements, the calculation gives 0.032 eV/atom. The calculation puts the magnetic moment at 2.2 Bohr magnetons per cell.